# 1
A plane-wave DFT calculation with PBE-GGA was carried out for a geometry-optimized VNiTe structure.

The structure in extended XYZ format:
```
6
Lattice="4.092 0.000 0.000 -2.046 3.544 -0.008 0.000 0.002 8.032" Properties=species:S:1:pos:R:3 pbc="T T T"
Te 2.046 1.177 1.702
Te 0.000 2.369 6.322
V 0.000 2.363 3.554
V 2.046 1.184 4.470
Ni 2.046 3.543 2.767
Ni 0.000 0.003 5.257
```

Density of states at the Fermi level: 3.19 states/eV/f.u.
Formation energy from raw total energies: -219.3 meV per atom
Magnetic moment: 0.00 μB/f.u.

***

# 2
A plane-wave DFT calculation with PBE-GGA was carried out for a geometry-optimized V2NiTe6 structure.

The structure in extended XYZ format:
```
18
Lattice="6.320 0.000 0.000 0.000 6.320 0.000 0.000 0.000 11.432" Properties=species:S:1:pos:R:3 pbc="T T T"
V 0.000 0.000 1.720
V 3.160 3.160 3.995
V 3.160 3.160 7.436
V 0.000 0.000 9.711
Te 4.947 1.373 0.000
Te 1.231 5.089 7.681
Te 4.391 4.391 1.966
Te 1.929 1.929 1.966
Te 1.231 5.089 3.750
Te 1.373 4.947 0.000
Te 1.929 1.929 9.466
Te 4.391 4.391 9.466
Te 5.089 1.231 7.681
Te 1.787 1.787 5.716
Te 5.089 1.231 3.750
Te 4.533 4.533 5.716
Ni 0.000 0.000 5.716
Ni 3.160 3.160 0.000
```

Density of states at the Fermi level: 7.57 states/eV/f.u.
Formation energy from raw total energies: -128.5 meV per atom
Magnetic moment: 0.97 μB/f.u.

***

# 3
A plane-wave DFT calculation with PBE-GGA was carried out for a geometry-optimized VNi3Te structure.

The structure in extended XYZ format:
```
5
Lattice="-0.345 1.475 4.113 -4.191 -1.277 0.106 1.234 -3.925 1.511" Properties=species:S:1:pos:R:3 pbc="T T T"
V 0.000 0.000 0.000
Ni -2.096 -0.639 0.053
Ni 0.617 -1.962 0.756
Ni -0.173 0.738 2.056
Te -1.651 -1.863 2.865
```

Density of states at the Fermi level: 5.70 states/eV/f.u.
Formation energy from raw total energies: 898.6 meV per atom
Magnetic moment: 0.01 μB/f.u.

***

# 4
A plane-wave DFT calculation with PBE-GGA was carried out for a geometry-optimized V3NiTe structure.

The structure in extended XYZ format:
```
5
Lattice="-1.301 1.718 3.913 -0.660 -4.122 1.591 4.222 -0.115 1.454" Properties=species:S:1:pos:R:3 pbc="T T T"
V 2.111 -0.057 0.727
V -0.330 -2.061 0.795
V -0.650 0.859 1.956
Te 1.131 -1.259 3.479
Ni 0.000 0.000 0.000
```

Density of states at the Fermi level: 7.72 states/eV/f.u.
Formation energy from raw total energies: 675.4 meV per atom
Magnetic moment: 4.32 μB/f.u.

***

# 5
A plane-wave DFT calculation with PBE-GGA was carried out for a geometry-optimized VNiTe6 structure.

The structure in extended XYZ format:
```
8
Lattice="6.640 0.019 0.028 3.321 5.772 0.031 3.333 1.934 5.331" Properties=species:S:1:pos:R:3 pbc="T T T"
Te 7.852 5.841 3.983
Te 5.442 1.885 1.408
Te 7.731 1.841 4.013
Te 4.329 3.927 3.966
Te 8.965 3.798 1.425
Te 5.564 5.884 1.378
V 6.647 3.863 2.695
Ni 0.000 0.000 0.000
```

Density of states at the Fermi level: 5.25 states/eV/f.u.
Formation energy from raw total energies: -90.2 meV per atom
Magnetic moment: 0.39 μB/f.u.

***

# 6
A plane-wave DFT calculation with PBE-GGA was carried out for a geometry-optimized VNiTe3 structure.

The structure in extended XYZ format:
```
5
Lattice="-2.316 -3.360 2.955 2.962 1.343 3.848 -3.354 3.506 1.358" Properties=species:S:1:pos:R:3 pbc="T T T"
Ni 0.000 0.000 0.000
Te -1.158 -1.680 1.477
Te 1.481 0.671 1.924
Te -1.677 1.753 0.679
V -1.354 0.745 4.080
```

Density of states at the Fermi level: 4.76 states/eV/f.u.
Formation energy from raw total energies: 540.9 meV per atom
Magnetic moment: 3.02 μB/f.u.